[1]
! RbZn3Sb (PBE-GGA, optimized geometry); values from VASP
&SYSTEM
  ibrav = 0, nat = 5, ntyp = 3
/
ATOMIC_SPECIES
Sb 121.76 Sb.upf
Zn 65.41 Zn.upf
Rb 85.47 Rb.upf
CELL_PARAMETERS angstrom
5.563 0.000 0.000
0.000 5.563 0.000
0.000 0.000 5.563
ATOMIC_POSITIONS crystal
Sb 0.000 0.000 0.000
Zn 0.000 0.500 0.000
Zn 0.000 0.000 0.500
Zn 0.500 0.000 0.000
Rb 0.500 0.500 0.500
! **Formation energy without anion corrections**: 277.0 meV per atom
! **DOS at the Fermi energy**: 3.42 states/eV per cell
! **Spin magnetization**: 0.00 μB/cell
! **Crystal system**: cubic
! **Space-group type**: Pm-3m (221)
! **E above lowest polymorph**: 0 meV per atom



[2]
! Rb5ZnSb2 (PBE-GGA, optimized geometry); values from VASP
&SYSTEM
  ibrav = 0, nat = 8, ntyp = 3
/
ATOMIC_SPECIES
Rb 85.47 Rb.upf
Zn 65.41 Zn.upf
Sb 121.76 Sb.upf
CELL_PARAMETERS angstrom
-2.597 4.549 3.349
-4.556 3.449 -2.448
-11.454 -5.976 5.004
ATOMIC_POSITIONS crystal
Rb 0.500 0.500 0.500
Rb 0.365 0.365 0.904
Rb 0.635 0.635 0.096
Rb 0.243 0.243 0.272
Rb 0.757 0.757 0.728
Zn 0.000 0.000 0.000
Sb 0.063 0.063 0.810
Sb 0.937 0.937 0.190
! **Formation energy without anion corrections**: -297.5 meV per atom
! **DOS at the Fermi energy**: 1.96 states/eV per cell
! **Spin magnetization**: 0.00 μB/cell
! **Crystal system**: trigonal
! **Space-group type**: R-3m (166)



- Which of these has the highest formation energy without anion corrections?
  RbZn3Sb